This record from the Alexandria database describes a relaxed structure of Cs2CaMnO4. The functional is GGA+U.

Summary:
M_tot (μB per atom): 0.375
Crystal system: orthorhombic
Energy (eV/atom): -5.469

Cell: 5.8365 12.5383 23.0200 Å, 90.00 90.00 90.00°
Space group Fddd (No. 70, origin choice 2)
Asymmetric unit:
1 Cs 0.1250 0.1250 0.3074
2 Ca 0.1250 0.1250 0.1250
3 Mn 0.1250 0.1250 0.6250
4 O 0.0815 0.2911 0.8369